Ac2IrAu | PBE | optimized geometry

Cell lengths 7.6130, 7.6130, 7.6130 Å; angles 90.00, 90.00, 90.00 degrees
Closest atoms and distances in Å follow each position.
Space group Fm-3m (No. 225)
One atom of each set of equivalent atoms:
Ac  0.2500  0.2500  0.2500 x8  4 Au 3.30, 4 Ir 3.30
Ir  0.0000  0.0000  0.0000 x4  8 Ac 3.30
Au  0.0000  0.0000  0.5000 x4  8 Ac 3.30

Values from the calculation:
- Energy of formation from the pure elements: -0.606 eV per atom
- Calculated total energy: -5.70 eV per atom